The following is a DFT calculation (PBE-GGA) of a relaxed Ba2FeP crystal.

Values from the calculation:
Space group: No. 216
D(E_F): 1.55 states/eV/atom
Calculated formation energy: 0.436 eV per atom

abc: 5.3936 5.3936 5.3936
angles: 60.00 60.00 60.00
Positions (direct):
1 P 0.7500 0.7500 0.7500
2 Ba 0.0000 0.0000 0.0000
3 Ba 0.2500 0.2500 0.2500
4 Fe 0.5000 0.5000 0.5000

The following is a DFT calculation (PBE-GGA) of a relaxed Ba2FeP crystal.

Values from the calculation:
Space group: No. 10
D(E_F): 1.21 states/eV/atom
Calculated formation energy: 0.068 eV per atom

abc: 4.0376 3.9909 8.7532
angles: 64.38 90.00 90.00
Positions (direct):
1 Ba 0.0000 0.4604 0.5321
2 Ba 0.0000 0.0396 0.9679
3 P 0.5000 0.7500 0.7500
4 Fe 0.5000 0.2500 0.2500

The following is a DFT calculation (PBE-GGA) of a relaxed BaFeP4 crystal.

Values from the calculation:
Space group: No. 216
D(E_F): 1.34 states/eV/atom
Calculated formation energy: 0.340 eV per atom

abc: 5.6236 5.6236 5.6236
angles: 60.00 60.00 60.00
Positions (direct):
1 P 0.9408 0.3531 0.3531
2 P 0.3531 0.9408 0.3531
3 P 0.3531 0.3531 0.9408
4 P 0.3531 0.3531 0.3531
5 Fe 0.0000 0.0000 0.0000
6 Ba 0.7500 0.7500 0.7500